1.
The following is a PBE calculation of a geometry-optimized LiHoBiPb structure, from Alexandria via LeMat-Bulk.

Computed properties:
DFT formation energy	-32.63	kJ/mol of atoms
density of states at the Fermi level	3.88	states/eV/f.u.
mass density	9.049	Mg/m³

Cell: 5.3440 5.3440 5.3440 Å, 60.00 60.00 60.00°
With the nearest neighbours (Å) after each atom.
Atoms (fractional coordinates):
Li  0.0000  0.0000  0.0000  4 Pb 3.27, 4 Bi 3.27
Ho  0.5000  0.5000  0.5000  4 Bi 3.27, 4 Pb 3.27
Bi  0.2500  0.2500  0.2500  4 Ho 3.27, 4 Li 3.27
Pb  0.7500  0.7500  0.7500  4 Ho 3.27, 4 Li 3.27


2.
The following is a PBE calculation of a geometry-optimized LiHoBiPd structure, from Alexandria via LeMat-Bulk.

Computed properties:
DFT formation energy	-55.05	kJ/mol of atoms
density of states at the Fermi level	2.09	states/eV/f.u.
mass density	9.706	Mg/m³

Cell: 4.9034 4.9034 4.9034 Å, 60.00 60.00 60.00°
With the nearest neighbours (Å) after each atom.
Atoms (fractional coordinates):
Li  0.0000  0.0000  0.0000  4 Bi 3.00, 4 Ho 3.00
Ho  0.7500  0.7500  0.7500  4 Li 3.00, 4 Pd 3.00
Bi  0.2500  0.2500  0.2500  4 Li 3.00, 4 Pd 3.00
Pd  0.5000  0.5000  0.5000  4 Ho 3.00, 4 Bi 3.00


3.
The following is a PBE calculation of a geometry-optimized Li2Pm2HoBi2 structure, from Alexandria via LeMat-Bulk.

Computed properties:
DFT formation energy	-39.85	kJ/mol of atoms
density of states at the Fermi level	4.76	states/eV/f.u.
mass density	7.846	Mg/m³

Cell: 9.3947 9.3947 9.3947 Å, 30.35 30.35 30.35°
With the nearest neighbours (Å) after each atom.
Atoms (fractional coordinates):
Li  0.0962  0.0962  0.0962  3 Bi 2.84
Li  0.9038  0.9038  0.9038  3 Bi 2.84
Pm  0.3706  0.3706  0.3706  3 Li 3.25, 3 Bi 3.33, 1 Ho 3.48, 3 Pm 3.48
Pm  0.6294  0.6294  0.6294  3 Li 3.25, 3 Bi 3.33, 1 Ho 3.48, 3 Pm 3.48
Ho  0.5000  0.5000  0.5000  6 Bi 3.33, 6 Li 3.41, 2 Pm 3.48
Bi  0.2316  0.2316  0.2316  3 Li 2.84
Bi  0.7684  0.7684  0.7684  3 Li 2.84


4.
The following is a PBE calculation of a geometry-optimized LiPmHoBi structure, from Alexandria via LeMat-Bulk.

Computed properties:
DFT formation energy	-30.79	kJ/mol of atoms
density of states at the Fermi level	4.33	states/eV/f.u.
mass density	8.045	Mg/m³

Cell: 5.3542 5.3542 5.3542 Å, 60.00 60.00 60.00°
With the nearest neighbours (Å) after each atom.
Atoms (fractional coordinates):
Li  0.0000  0.0000  0.0000  4 Ho 3.28, 4 Pm 3.28
Pm  0.2500  0.2500  0.2500  4 Bi 3.28, 4 Li 3.28
Ho  0.7500  0.7500  0.7500  4 Li 3.28, 4 Bi 3.28
Bi  0.5000  0.5000  0.5000  4 Ho 3.28, 4 Pm 3.28